1.
# SiHgN2

SiHgN2 after structural relaxation (PBE-GGA, Alexandria).

Properties
ΔE to the lowest computed polymorph in meV per atom: 0
SG: I-42d, No. 122
Density of states at the Fermi level in states/eV/cell: 0.00

Geometry as POSCAR:
```
SiHgN2
1.0
-2.443 2.443 4.198
2.443 -2.443 4.198
2.443 2.443 -4.198
Si Hg N
2 2 4
Direct
0.000 0.000 0.000
0.750 0.250 0.500
0.250 0.750 0.500
0.500 0.500 0.000
0.020 0.625 0.895
0.375 0.270 0.395
0.730 0.125 0.105
0.875 0.980 0.605
```

=====

2.
# SiHgN2

SiHgN2 after structural relaxation (PBE-GGA, Alexandria).

Properties
ΔE to the lowest computed polymorph in meV per atom: 163
SG: R-3m, No. 166
Density of states at the Fermi level in states/eV/cell: 0.00

Geometry as POSCAR:
```
SiHgN2
1.0
1.478 0.853 6.071
-1.478 0.853 6.071
0.000 -1.706 6.071
Si Hg N
1 1 2
Direct
0.000 0.000 0.000
0.500 0.500 0.500
0.384 0.384 0.384
0.616 0.616 0.616
```

=====

3.
# SiHgN2

SiHgN2 after structural relaxation (PBE-GGA, Alexandria).

Properties
ΔE to the lowest computed polymorph in meV per atom: 2094
SG: Fm-3m, No. 225
Density of states at the Fermi level in states/eV/cell: 3.40

Geometry as POSCAR:
```
SiHgN2
1.0
0.000 2.877 2.877
2.877 0.000 2.877
2.877 2.877 0.000
Si Hg N
1 1 2
Direct
0.000 0.000 0.000
0.500 0.500 0.500
0.250 0.250 0.250
0.750 0.750 0.750
```

=====

4.
# Si3HgN

Si3HgN after structural relaxation (PBE-GGA, Alexandria).

Properties
ΔE to the lowest computed polymorph in meV per atom: 0
SG: Pm-3m, No. 221
Density of states at the Fermi level in states/eV/cell: 2.36

Geometry as POSCAR:
```
Si3HgN
1.0
4.211 0.000 0.000
0.000 4.211 0.000
0.000 0.000 4.211
Si Hg N
3 1 1
Direct
0.000 0.000 0.500
0.000 0.500 0.000
0.500 0.000 0.000
0.500 0.500 0.500
0.000 0.000 0.000
```

=====

5.
# SiHgTe2N

SiHgTe2N after structural relaxation (PBE-GGA, Alexandria).

Properties
ΔE to the lowest computed polymorph in meV per atom: 1153
SG: P4/mmm, No. 123
Density of states at the Fermi level in states/eV/cell: 2.13

Geometry as POSCAR:
```
SiHgTe2N
1.0
5.739 0.000 0.000
0.000 5.739 0.000
0.000 0.000 4.099
Si Hg Te N
1 1 2 1
Direct
0.000 0.000 0.000
0.500 0.500 0.500
0.000 0.500 0.500
0.500 0.000 0.500
0.500 0.500 0.000
```

=====

6.
# SiHgTe2N

SiHgTe2N after structural relaxation (PBE-GGA, Alexandria).

Properties
ΔE to the lowest computed polymorph in meV per atom: 0
SG: P4/mmm, No. 123
Density of states at the Fermi level in states/eV/cell: 2.13

Geometry as POSCAR:
```
SiHgTe2N
1.0
5.855 0.000 0.000
0.000 5.855 0.000
0.000 0.000 3.269
Si Hg Te N
1 1 2 1
Direct
0.000 0.000 0.000
0.500 0.500 0.500
0.000 0.500 0.000
0.500 0.000 0.000
0.000 0.000 0.500
```

=====

7.
# SiHg2WN

SiHg2WN after structural relaxation (PBE-GGA, Alexandria).

Properties
SG: P4/mmm, No. 123
Density of states at the Fermi level in states/eV/cell: 2.45

Geometry as POSCAR:
```
SiHg2WN
1.0
5.449 0.000 0.000
0.000 5.449 0.000
0.000 0.000 3.807
Si Hg W N
1 2 1 1
Direct
0.000 0.000 0.000
0.000 0.500 0.500
0.500 0.000 0.500
0.500 0.500 0.500
0.500 0.500 0.000
```

=====

8.
# ZnSi2HgN

ZnSi2HgN after structural relaxation (PBE-GGA, Alexandria).

Properties
SG: P4/mmm, No. 123
Density of states at the Fermi level in states/eV/cell: 3.74

Geometry as POSCAR:
```
ZnSi2HgN
1.0
4.580 0.000 0.000
0.000 4.580 0.000
0.000 0.000 4.968
Zn Si Hg N
1 2 1 1
Direct
0.000 0.000 0.000
0.000 0.500 0.000
0.500 0.000 0.000
0.000 0.000 0.500
0.500 0.500 0.500
```

=====

9.
# Zr2SiHgN

Zr2SiHgN after structural relaxation (PBE-GGA, Alexandria).

Properties
SG: P4/mmm, No. 123
Density of states at the Fermi level in states/eV/cell: 3.49

Geometry as POSCAR:
```
Zr2SiHgN
1.0
4.421 0.000 0.000
0.000 4.421 0.000
0.000 0.000 4.640
Zr Si Hg N
2 1 1 1
Direct
0.000 0.500 0.000
0.500 0.000 0.000
0.000 0.000 0.500
0.500 0.500 0.500
0.500 0.500 0.000
```

=====

10.
# Sm2HgN

Sm2HgN after structural relaxation (PBE-GGA, Alexandria).

Properties
ΔE to the lowest computed polymorph in meV per atom: 0
SG: Cmcm, No. 63
Density of states at the Fermi level in states/eV/cell: 3.71

Geometry as POSCAR:
```
Sm2HgN
1.0
1.772 -9.662 0.000
1.772 9.662 0.000
0.000 0.000 5.065
Sm Hg N
4 2 2
Direct
0.109 0.891 0.750
0.289 0.711 0.750
0.711 0.289 0.250
0.891 0.109 0.250
0.456 0.544 0.750
0.544 0.456 0.250
0.301 0.699 0.250
0.699 0.301 0.750
```

=====

11.
# Sm2HgN

Sm2HgN after structural relaxation (PBE-GGA, Alexandria).

Properties
ΔE to the lowest computed polymorph in meV per atom: 71
SG: R-3m, No. 166
Density of states at the Fermi level in states/eV/cell: 3.66

Geometry as POSCAR:
```
Sm2HgN
1.0
1.817 1.049 7.878
-1.817 1.049 7.878
0.000 -2.099 7.878
Sm Hg N
2 1 1
Direct
0.225 0.225 0.225
0.775 0.775 0.775
0.000 0.000 0.000
0.500 0.500 0.500
```

=====

12.
# Sm6Hg2N

Sm6Hg2N after structural relaxation (PBE-GGA, Alexandria).

Properties
SG: P2_1/c, No. 14
Density of states at the Fermi level in states/eV/cell: 11.93

Geometry as POSCAR:
```
Sm6Hg2N
1.0
7.058 0.000 0.000
0.000 7.037 0.000
-7.039 0.000 9.937
Sm Hg N
12 4 2
Direct
0.178 0.001 0.258
0.178 0.499 0.758
0.296 0.743 0.041
0.296 0.757 0.541
0.299 0.246 0.541
0.299 0.254 0.041
0.701 0.746 0.959
0.701 0.754 0.459
0.704 0.243 0.459
0.704 0.257 0.959
0.822 0.501 0.242
0.822 0.999 0.742
0.261 0.002 0.752
0.261 0.498 0.252
0.739 0.502 0.748
0.739 0.998 0.248
0.500 0.000 0.500
0.500 0.500 0.000
```

=====

13.
# Sm4SnHgN

Sm4SnHgN after structural relaxation (PBE-GGA, Alexandria).

Properties
SG: Cmcm, No. 63
Density of states at the Fermi level in states/eV/cell: 7.88

Geometry as POSCAR:
```
Sm4SnHgN
1.0
3.434 -7.989 0.000
3.434 7.989 0.000
0.000 0.000 6.866
Sm Sn Hg N
8 2 2 2
Direct
0.000 0.500 0.000
0.000 0.500 0.500
0.081 0.919 0.750
0.413 0.587 0.750
0.500 0.000 0.000
0.500 0.000 0.500
0.587 0.413 0.250
0.919 0.081 0.250
0.389 0.611 0.250
0.611 0.389 0.750
0.115 0.885 0.250
0.885 0.115 0.750
0.252 0.748 0.750
0.748 0.252 0.250
```

=====

14.
# Tb2SmHgN

Tb2SmHgN after structural relaxation (PBE-GGA, Alexandria).

Properties
SG: P4/mmm, No. 123
Density of states at the Fermi level in states/eV/cell: 4.14

Geometry as POSCAR:
```
Tb2SmHgN
1.0
4.834 0.000 0.000
0.000 4.834 0.000
0.000 0.000 4.941
Tb Sm Hg N
2 1 1 1
Direct
0.000 0.500 0.000
0.500 0.000 0.000
0.000 0.000 0.500
0.500 0.500 0.500
0.000 0.000 0.000
```

=====

15.
# Sm2YHgN

Sm2YHgN after structural relaxation (PBE-GGA, Alexandria).

Properties
SG: P4/mmm, No. 123
Density of states at the Fermi level in states/eV/cell: 4.10

Geometry as POSCAR:
```
Sm2YHgN
1.0
4.952 0.000 0.000
0.000 4.952 0.000
0.000 0.000 4.797
Sm Y Hg N
2 1 1 1
Direct
0.000 0.500 0.000
0.500 0.000 0.000
0.000 0.000 0.500
0.500 0.500 0.500
0.000 0.000 0.000
```

=====

16.
# Sn3HgN

Sn3HgN after structural relaxation (PBE-GGA, Alexandria).

Properties
ΔE to the lowest computed polymorph in meV per atom: 1207
SG: Pm-3m, No. 221
Density of states at the Fermi level in states/eV/cell: 3.14

Geometry as POSCAR:
```
Sn3HgN
1.0
5.483 0.000 0.000
0.000 5.483 0.000
0.000 0.000 5.483
Sn Hg N
3 1 1
Direct
0.000 0.000 0.500
0.000 0.500 0.000
0.500 0.000 0.000
0.000 0.000 0.000
0.500 0.500 0.500
```

=====

17.
# Sn2HgN

Sn2HgN after structural relaxation (PBE-GGA, Alexandria).

Properties
ΔE to the lowest computed polymorph in meV per atom: 645
SG: Fm-3m, No. 225
Density of states at the Fermi level in states/eV/cell: 3.47

Geometry as POSCAR:
```
Sn2HgN
1.0
0.000 3.475 3.475
3.475 0.000 3.475
3.475 3.475 0.000
Sn Hg N
2 1 1
Direct
0.250 0.250 0.250
0.750 0.750 0.750
0.000 0.000 0.000
0.500 0.500 0.500
```

=====

18.
# Sn3HgN

Sn3HgN after structural relaxation (PBE-GGA, Alexandria).

Properties
ΔE to the lowest computed polymorph in meV per atom: 0
SG: Pm-3m, No. 221
Density of states at the Fermi level in states/eV/cell: 5.23

Geometry as POSCAR:
```
Sn3HgN
1.0
4.859 0.000 0.000
0.000 4.859 0.000
0.000 0.000 4.859
Sn Hg N
3 1 1
Direct
0.000 0.000 0.500
0.000 0.500 0.000
0.500 0.000 0.000
0.500 0.500 0.500
0.000 0.000 0.000
```

=====

19.
# SnHgN3

SnHgN3 after structural relaxation (PBE-GGA, Alexandria).

Properties
SG: Pm-3m, No. 221
Density of states at the Fermi level in states/eV/cell: 2.25

Geometry as POSCAR:
```
SnHgN3
1.0
4.203 0.000 0.000
0.000 4.203 0.000
0.000 0.000 4.203
Sn Hg N
1 1 3
Direct
0.000 0.000 0.000
0.500 0.500 0.500
0.000 0.000 0.500
0.000 0.500 0.000
0.500 0.000 0.000
```

=====

20.
# Sn2HgN

Sn2HgN after structural relaxation (PBE-GGA, Alexandria).

Properties
ΔE to the lowest computed polymorph in meV per atom: 236
SG: R-3m, No. 166
Density of states at the Fermi level in states/eV/cell: 1.03

Geometry as POSCAR:
```
Sn2HgN
1.0
2.166 1.251 7.398
-2.166 1.251 7.398
0.000 -2.502 7.398
Sn Hg N
2 1 1
Direct
0.088 0.088 0.088
0.912 0.912 0.912
0.500 0.500 0.500
0.000 0.000 0.000
```

=====

21.
# Sn2HgN2

Sn2HgN2 after structural relaxation (PBE-GGA, Alexandria).

Properties
SG: C2/m, No. 12
Density of states at the Fermi level in states/eV/cell: 0.52

Geometry as POSCAR:
```
Sn2HgN2
1.0
1.716 -3.378 0.000
1.716 3.378 0.000
-1.535 0.000 10.237
Sn Hg N
2 1 2
Direct
0.157 0.157 0.320
0.843 0.843 0.680
0.500 0.500 0.000
0.397 0.397 0.799
0.603 0.603 0.201
```

=====

22.
# SnHgN3

SnHgN3 after structural relaxation (PBE-GGA, Alexandria).

Properties
SG: Pm-3m, No. 221
Density of states at the Fermi level in states/eV/cell: 3.57

Geometry as POSCAR:
```
SnHgN3
1.0
4.278 0.000 0.000
0.000 4.278 0.000
0.000 0.000 4.278
Sn Hg N
1 1 3
Direct
0.000 0.000 0.000
0.500 0.500 0.500
0.000 0.500 0.500
0.500 0.000 0.500
0.500 0.500 0.000
```

=====

23.
# Sn2HgN

Sn2HgN after structural relaxation (PBE-GGA, Alexandria).

Properties
ΔE to the lowest computed polymorph in meV per atom: 0
SG: I-42d, No. 122
Density of states at the Fermi level in states/eV/cell: 2.19

Geometry as POSCAR:
```
Sn2HgN
1.0
-2.990 2.990 5.515
2.990 -2.990 5.515
2.990 2.990 -5.515
Sn Hg N
4 2 2
Direct
0.041 0.625 0.916
0.375 0.291 0.416
0.709 0.125 0.084
0.875 0.959 0.584
0.250 0.750 0.500
0.500 0.500 0.000
0.000 0.000 0.000
0.750 0.250 0.500
```

=====

24.
# SnHg2N2

SnHg2N2 after structural relaxation (PBE-GGA, Alexandria).

Properties
SG: C2/m, No. 12
Density of states at the Fermi level in states/eV/cell: 2.42

Geometry as POSCAR:
```
SnHg2N2
1.0
3.350 -1.992 0.000
3.350 1.992 0.000
-2.529 0.000 7.578
Sn Hg N
1 2 2
Direct
0.000 0.000 0.000
0.217 0.217 0.662
0.783 0.783 0.338
0.107 0.107 0.283
0.893 0.893 0.717
```

=====

25.
# Sr2SnHgN

Sr2SnHgN after structural relaxation (PBE-GGA, Alexandria).

Properties
SG: P4/mmm, No. 123
Density of states at the Fermi level in states/eV/cell: 3.13

Geometry as POSCAR:
```
Sr2SnHgN
1.0
5.314 0.000 0.000
0.000 5.314 0.000
0.000 0.000 4.625
Sr Sn Hg N
2 1 1 1
Direct
0.000 0.500 0.000
0.500 0.000 0.000
0.000 0.000 0.500
0.500 0.500 0.500
0.000 0.000 0.000
```

=====

26.
# TaSnHg2N

TaSnHg2N after structural relaxation (PBE-GGA, Alexandria).

Properties
SG: P4/mmm, No. 123
Density of states at the Fermi level in states/eV/cell: 10.10

Geometry as POSCAR:
```
TaSnHg2N
1.0
5.303 0.000 0.000
0.000 5.303 0.000
0.000 0.000 5.378
Ta Sn Hg N
1 1 2 1
Direct
0.000 0.000 0.000
0.000 0.000 0.500
0.000 0.500 0.500
0.500 0.000 0.500
0.500 0.500 0.000
```

=====

27.
# Tb4SnHgN

Tb4SnHgN after structural relaxation (PBE-GGA, Alexandria).

Properties
SG: Cmcm, No. 63
Density of states at the Fermi level in states/eV/cell: 7.94

Geometry as POSCAR:
```
Tb4SnHgN
1.0
3.357 -7.867 0.000
3.357 7.867 0.000
0.000 0.000 6.710
Tb Sn Hg N
8 2 2 2
Direct
0.000 0.500 0.000
0.000 0.500 0.500
0.081 0.919 0.750
0.412 0.588 0.750
0.500 0.000 0.000
0.500 0.000 0.500
0.588 0.412 0.250
0.919 0.081 0.250
0.390 0.610 0.250
0.610 0.390 0.750
0.115 0.885 0.250
0.885 0.115 0.750
0.252 0.748 0.750
0.748 0.252 0.250
```

=====

What raw total energy values result from the calculations? In sequence: -46.38; -22.54; -14.81; -21.06; -13.46; -19.23; -22.80; -11.84; -32.22; -43.86; -21.65; -84.00; -74.05; -26.97; -28.80; -12.21; -12.69; -18.25; -20.47; -14.33; -21.97; -17.92; -30.54; -15.94; -17.98; -13.00; -74.11 eV/cell.
What formation energy from raw total energies values result from the calculations? In sequence: -0.2031; -0.0404; 1.8911; 0.7677; 1.3740; 0.2215; 0.9008; 1.7816; -0.2141; -0.9660; -0.8950; -0.5286; -0.7882; -0.8728; -0.8550; 1.6843; 0.9852; 0.4771; 1.7615; 0.5762; 0.5968; 2.2730; 0.3403; 1.0627; -0.3967; 2.3559; -0.8435 eV per atom.
What volume values result from the calculations? In sequence: 100.24; 45.91; 47.62; 74.66; 135.03; 112.07; 113.04; 104.21; 90.67; 173.43; 90.14; 493.52; 376.75; 115.44; 117.65; 164.83; 83.92; 114.75; 74.26; 120.28; 118.69; 78.30; 197.16; 101.12; 130.62; 151.23; 354.45 Å³/cell.